[1]
SrB2OsAu | PBE | optimized geometry

Cell and atoms, written as CIF:
```
data_SrB2OsAu
_chemical_formula_sum 'Sr1 B2 Os1 Au1'
_cell_length_a 4.4806
_cell_length_b 4.4806
_cell_length_c 5.2874
_cell_angle_alpha 90.00
_cell_angle_beta 90.00
_cell_angle_gamma 90.00
_space_group_name_H-M_alt 'P 4/m m m'
_space_group_IT_number 123
_space_group_name_Hall '-P 4 2'
loop_
_atom_site_label
_atom_site_fract_x
_atom_site_fract_y
_atom_site_fract_z
Sr1 0.0000 0.0000 0.0000
B1 0.0000 0.5000 0.0000
Os1 0.5000 0.5000 0.5000
Au1 0.0000 0.0000 0.5000
```

Properties
The distance to the lowest polymorph of the same formula comes out at 1424.1 meV per atom.

***

[2]
BP3Au | PBE | optimized geometry

Cell and atoms, written as CIF:
```
data_BP3Au
_chemical_formula_sum 'B1 P3 Au1'
_cell_length_a 4.1478
_cell_length_b 4.1478
_cell_length_c 4.1478
_cell_angle_alpha 90.00
_cell_angle_beta 90.00
_cell_angle_gamma 90.00
_space_group_name_H-M_alt 'P m -3 m'
_space_group_IT_number 221
_space_group_name_Hall '-P 4 2 3'
loop_
_atom_site_label
_atom_site_fract_x
_atom_site_fract_y
_atom_site_fract_z
B1 0.0000 0.0000 0.0000
P1 0.0000 0.0000 0.5000
Au1 0.5000 0.5000 0.5000
```

Properties
The distance to the lowest polymorph of the same formula comes out at 0.0 meV per atom.

***

[3]
BP3Au | PBE | optimized geometry

Cell and atoms, written as CIF:
```
data_BP3Au
_chemical_formula_sum 'B1 P3 Au1'
_cell_length_a 4.8519
_cell_length_b 4.8519
_cell_length_c 4.8519
_cell_angle_alpha 90.00
_cell_angle_beta 90.00
_cell_angle_gamma 90.00
_space_group_name_H-M_alt 'P m -3 m'
_space_group_IT_number 221
_space_group_name_Hall '-P 4 2 3'
loop_
_atom_site_label
_atom_site_fract_x
_atom_site_fract_y
_atom_site_fract_z
B1 0.0000 0.0000 0.0000
P1 0.0000 0.5000 0.5000
Au1 0.5000 0.5000 0.5000
```

Properties
The distance to the lowest polymorph of the same formula comes out at 1194.2 meV per atom.

***

| no. | D(E_F) (states/eV/cell) | E_form (eV per formula unit) | energy (eV/cell) |
| --- | --- | --- | --- |
| 1 | 7.620 | 15.813 | -13.73 |
| 2 | 2.219 | 4.167 | -22.02 |
| 3 | 4.566 | 10.137 | -16.05 |